First-principles (GGA-PBE) data for crystalline NiTePIr at its relaxed geometry, as listed in Alexandria via LeMat-Bulk.

Properties
Density: 9.4 g cm⁻³
Energy above the most stable polymorph in this dataset: 12 meV per atom
Uncorrected formation energy: -0.238 eV per atom
Spin magnetization: 0.0 μB/f.u.

```
NiTePIr
1.0
-3.6713 -5.7277 -2.4207
2.4384 -1.7999 0.5606
-0.6282 1.3575 7.0915
Ir Te Ni P
2 2 2 2
direct
0.6658 0.5000 0.1214
0.6658 0.0000 0.6214
0.2601 0.5000 0.9632
0.2601 0.0000 0.4632
0.0416 0.5000 0.1541
0.0416 0.0000 0.6541
0.8042 0.5000 0.4733
0.8042 0.0000 0.9733
```

First-principles (GGA-PBE) data for crystalline Tb7Pr2Er2 at its relaxed geometry, as listed in Alexandria via LeMat-Bulk.

Properties
Density: 7.9 g cm⁻³
Energy above the most stable polymorph in this dataset: 0 meV per atom
Spin magnetization: 0.0 μB/f.u.

```
Tb7Pr2Er2
1.0
7.4133 2.7653 1.5965
3.9631 9.2162 -3.0252
-0.4147 -2.7653 7.5719
Tb Pr Er
7 2 2
direct
0.7600 0.6800 0.7675
0.0000 0.5000 0.0000
0.2400 0.3200 0.2325
0.6451 0.0815 0.3549
0.7675 0.3200 0.7600
0.2325 0.6800 0.2400
0.3549 0.9185 0.6451
0.2184 0.6954 0.7816
0.7816 0.3046 0.2184
0.2855 0.0000 0.2855
0.7145 0.0000 0.7145
```